#one
! ZrMnTl2 PBE relaxed; values from VASP
! total moment: 0.815 μB/atom
! Fermi-level density of states: 2.39 states/eV/f.u.
&SYSTEM
  ibrav = 0, nat = 4, ntyp = 3
/
ATOMIC_SPECIES
Mn 54.94 Mn.upf
Tl 204.38 Tl.upf
Zr 91.22 Zr.upf
ATOMIC_POSITIONS angstrom
Mn 2.8429 0.0054 1.5093
Tl 0.0000 0.0000 0.0000
Tl 1.2356 2.5604 1.5093
Zr 4.0786 2.5658 0.0000
CELL_PARAMETERS angstrom
5.6859 0.0108 0.0000
2.4712 5.1208 0.0000
-4.0786 -2.5658 3.0185

---

#two
! ZrMnTl2 PBE relaxed; values from VASP
! total moment: 0.566 μB/atom
! Fermi-level density of states: 3.01 states/eV/f.u.
&SYSTEM
  ibrav = 0, nat = 4, ntyp = 3
/
ATOMIC_SPECIES
Mn 54.94 Mn.upf
Tl 204.38 Tl.upf
Zr 91.22 Zr.upf
ATOMIC_POSITIONS angstrom
Mn 1.8226 1.8231 4.8057
Tl 0.0000 0.0000 6.6404
Tl 1.8226 1.8231 1.8242
Zr 0.0000 0.0000 3.6517
CELL_PARAMETERS angstrom
3.6452 0.0000 0.0000
0.0000 3.6461 0.0000
0.0000 0.0000 6.7688

---

We find #one to be the most stable, with the next structure 0.011 eV/atom higher.

---

#one
! Zr4MnTl PBE relaxed; values from VASP
! total moment: 0.000 μB/atom
! Fermi-level density of states: 5.96 states/eV/f.u.
&SYSTEM
  ibrav = 0, nat = 12, ntyp = 3
/
ATOMIC_SPECIES
Zr 91.22 Zr.upf
Mn 54.94 Mn.upf
Tl 204.38 Tl.upf
ATOMIC_POSITIONS angstrom
Zr 5.6076 4.4480 2.9860
Zr 4.2014 1.1028 6.5377
Zr 3.2256 2.3568 3.3934
Zr 1.1318 5.7021 5.0959
Zr 1.4756 2.2425 6.0205
Zr 2.8818 5.5878 2.4688
Zr 3.8576 4.3338 5.6131
Zr 5.9513 0.9885 3.9106
Mn 3.5416 0.0000 4.5032
Mn 0.8158 3.3453 3.9860
Tl 0.0000 0.0000 0.0000
Tl 2.7257 3.3453 0.5172
CELL_PARAMETERS angstrom
5.4515 0.0000 1.0344
0.0000 6.6906 0.0000
1.6317 0.0000 7.9721

---

#two
! Zr4MnTl PBE relaxed; values from VASP
! total moment: 0.560 μB/atom
! Fermi-level density of states: 7.41 states/eV/f.u.
&SYSTEM
  ibrav = 0, nat = 6, ntyp = 3
/
ATOMIC_SPECIES
Zr 91.22 Zr.upf
Mn 54.94 Mn.upf
Tl 204.38 Tl.upf
ATOMIC_POSITIONS angstrom
Zr 3.0705 5.0924 5.0924
Zr 5.0924 5.0924 3.0705
Zr 5.0924 3.0705 5.0924
Zr 3.0705 3.0705 3.0705
Mn 6.1222 6.1222 6.1222
Tl 0.0000 0.0000 0.0000
CELL_PARAMETERS angstrom
0.0000 4.0815 4.0815
4.0815 0.0000 4.0815
4.0815 4.0815 0.0000

---

We find #one to be the most stable, with the next structure 0.279 eV/atom higher.

---

#one
! Zr2MnTl2 PBE relaxed; values from VASP
! total moment: 0.000 μB/atom
! Fermi-level density of states: 6.42 states/eV/f.u.
&SYSTEM
  ibrav = 0, nat = 5, ntyp = 3
/
ATOMIC_SPECIES
Tl 204.38 Tl.upf
Mn 54.94 Mn.upf
Zr 91.22 Zr.upf
ATOMIC_POSITIONS angstrom
Tl 3.8719 1.9359 3.9710
Tl 1.9359 3.8719 3.9710
Mn 0.0000 0.0000 0.0000
Zr 1.9359 1.9359 1.3873
Zr 3.8719 3.8719 6.5547
CELL_PARAMETERS angstrom
3.8719 0.0000 0.0000
0.0000 3.8719 0.0000
1.9359 1.9359 7.9420

---

#two
! Zr2MnTl2 PBE relaxed; values from VASP
! total moment: 0.357 μB/atom
! Fermi-level density of states: 3.97 states/eV/f.u.
&SYSTEM
  ibrav = 0, nat = 10, ntyp = 3
/
ATOMIC_SPECIES
Tl 204.38 Tl.upf
Mn 54.94 Mn.upf
Zr 91.22 Zr.upf
ATOMIC_POSITIONS angstrom
Tl 1.1091 4.5349 2.4712
Tl 4.5349 5.7424 2.4712
Tl 5.7424 2.3167 2.4712
Tl 2.3167 1.1091 2.4712
Mn 0.0000 0.0000 0.0000
Mn 3.4258 3.4258 0.0000
Zr 2.3217 5.7475 0.0000
Zr 5.7475 4.5299 0.0000
Zr 4.5299 1.1041 0.0000
Zr 1.1041 2.3217 0.0000
CELL_PARAMETERS angstrom
6.8516 0.0000 0.0000
0.0000 6.8516 0.0000
0.0000 0.0000 4.9425

---

We find #two to be the most stable, with the next structure 0.540 eV/atom higher.

---

#one
! TmZrMn PBE relaxed; values from VASP
! total moment: 0.473 μB/atom
! Fermi-level density of states: 4.34 states/eV/f.u.
&SYSTEM
  ibrav = 0, nat = 3, ntyp = 3
/
ATOMIC_SPECIES
Zr 91.22 Zr.upf
Mn 54.94 Mn.upf
Tm 168.93 Tm.upf
ATOMIC_POSITIONS angstrom
Zr 0.0000 2.1252 2.5803
Mn 1.5661 0.0000 2.5803
Tm 0.0000 0.0000 0.0000
CELL_PARAMETERS angstrom
3.1323 0.0000 0.0000
0.0000 4.2505 0.0000
0.0000 0.0000 5.1605

---

#two
! TmZrMn PBE relaxed; values from VASP
! total moment: 0.000 μB/atom
! Fermi-level density of states: 1.73 states/eV/f.u.
&SYSTEM
  ibrav = 0, nat = 3, ntyp = 3
/
ATOMIC_SPECIES
Mn 54.94 Mn.upf
Tm 168.93 Tm.upf
Zr 91.22 Zr.upf
ATOMIC_POSITIONS angstrom
Mn 1.6221 1.6221 2.1287
Tm 0.0000 0.0000 0.3761
Zr 0.0000 0.0000 3.4898
CELL_PARAMETERS angstrom
3.2443 0.0000 0.0000
0.0000 3.2443 0.0000
-1.6221 -1.6221 5.9947

---

We find #two to be the most stable, with the next structure 0.230 eV/atom higher.

---

#one
! U3Mn PBE relaxed; values from VASP
! total moment: 0.001 μB/atom
! Fermi-level density of states: 10.11 states/eV/f.u.
&SYSTEM
  ibrav = 0, nat = 4, ntyp = 2
/
ATOMIC_SPECIES
Mn 54.94 Mn.upf
U 238.03 U.upf
ATOMIC_POSITIONS angstrom
Mn 0.0000 1.9164 2.0275
U 0.0000 0.0000 4.8599
U 1.9164 0.0000 2.0281
U 1.9164 1.9164 4.0629
CELL_PARAMETERS angstrom
3.8328 0.0000 0.0000
0.0000 3.8328 0.0000
0.0000 0.0000 4.8669

---

#two
! U3Mn PBE relaxed; values from VASP
! total moment: 0.000 μB/atom
! Fermi-level density of states: 8.73 states/eV/f.u.
&SYSTEM
  ibrav = 0, nat = 4, ntyp = 2
/
ATOMIC_SPECIES
Mn 54.94 Mn.upf
U 238.03 U.upf
ATOMIC_POSITIONS angstrom
Mn 0.1083 0.0101 0.1329
U -1.3135 0.5060 3.1321
U 1.3929 -1.3031 2.0224
U -2.2118 -1.2172 0.7897
CELL_PARAMETERS angstrom
-0.1995 -2.8852 0.3825
3.1292 0.2925 3.8388
-5.3755 1.9824 1.0249

---

We find #two to be the most stable, with the next structure 0.038 eV/atom higher.

---

#one
! UMnV PBE relaxed; values from VASP
! total moment: 0.044 μB/atom
! Fermi-level density of states: 5.27 states/eV/f.u.
&SYSTEM
  ibrav = 0, nat = 3, ntyp = 3
/
ATOMIC_SPECIES
Mn 54.94 Mn.upf
U 238.03 U.upf
V 50.94 V.upf
ATOMIC_POSITIONS angstrom
Mn -3.7045 1.5581 -0.5427
U -1.7814 1.0048 -1.6722
V -1.9893 0.5723 1.1684
CELL_PARAMETERS angstrom
-0.1226 3.0607 -1.7079
-1.9157 -1.4896 -2.5320
-2.1791 0.1345 3.9983

---

#two
! UMnV PBE relaxed; values from VASP
! total moment: 0.000 μB/atom
! Fermi-level density of states: 4.75 states/eV/f.u.
&SYSTEM
  ibrav = 0, nat = 3, ntyp = 3
/
ATOMIC_SPECIES
Mn 54.94 Mn.upf
U 238.03 U.upf
V 50.94 V.upf
ATOMIC_POSITIONS angstrom
Mn 1.6556 0.0000 2.4697
U 0.8748 2.1388 1.2348
V 0.2053 0.0000 0.0000
CELL_PARAMETERS angstrom
2.7357 0.0000 0.0000
0.0000 4.2776 0.0000
0.0000 -2.1388 3.7045

---

We find #two to be the most stable, with the next structure 0.159 eV/atom higher.